# 1
{
  "formula": "Li2PtAu",
  "functional": "GGA-PBE",
  "state": "relaxed",
  "lattice": [[0.0000, 3.1284, 3.1284], [3.1284, 0.0000, 3.1284], [3.1284, 3.1284, 0.0000]],
  "species": ["Li", "Li", "Pt", "Au"],
  "fractional_positions": [[0.0000, 0.0000, 0.0000], [0.2500, 0.2500, 0.2500], [0.5000, 0.5000, 0.5000], [0.7500, 0.7500, 0.7500]]
}

***

# 2
{
  "formula": "PrNd3Er2CoTe2",
  "functional": "GGA-PBE",
  "state": "relaxed",
  "lattice": [[4.0069, 0.0000, 0.0000], [0.0000, 7.5226, 4.2201], [0.0000, -7.5226, 4.2201]],
  "species": ["Pr", "Nd", "Nd", "Nd", "Er", "Er", "Co", "Te", "Te"],
  "fractional_positions": [[0.0000, 0.0000, 0.0000], [0.5000, 0.2339, 0.8267], [0.5000, 0.6328, 0.6328], [0.5000, 0.8267, 0.2339], [0.0000, 0.2311, 0.4644], [0.0000, 0.4644, 0.2311], [0.5000, 0.2825, 0.2825], [0.0000, 0.5623, 0.9000], [0.0000, 0.9000, 0.5623]]
}

***

# 3
{
  "formula": "SrCu2Au",
  "functional": "GGA-PBE",
  "state": "relaxed",
  "lattice": [[0.0000, 3.4376, 3.4376], [3.4376, 0.0000, 3.4376], [3.4376, 3.4376, 0.0000]],
  "species": ["Sr", "Cu", "Cu", "Au"],
  "fractional_positions": [[0.0000, 0.0000, 0.0000], [0.2500, 0.2500, 0.2500], [0.5000, 0.5000, 0.5000], [0.7500, 0.7500, 0.7500]]
}

***

# 4
{
  "formula": "Nd3Zn3NiIr2",
  "functional": "GGA-PBE",
  "state": "relaxed",
  "formation_enthalpy_0k_ev_per_fu": -4.80,
  "lattice": [[7.2406, 0.0000, 0.0000], [-3.6203, 6.2705, 0.0000], [0.0000, 0.0000, 3.9607]],
  "species": ["Nd", "Nd", "Nd", "Zn", "Zn", "Zn", "Ni", "Ir", "Ir"],
  "fractional_positions": [[0.0000, 0.5896, 0.0000], [0.4104, 0.4104, 0.0000], [0.5896, 0.0000, 0.0000], [0.0000, 0.2335, 0.5000], [0.2335, 0.0000, 0.5000], [0.7665, 0.7665, 0.5000], [0.0000, 0.0000, 0.0000], [0.3333, 0.6667, 0.5000], [0.6667, 0.3333, 0.5000]]
}

***

Number 1: final energy -0.27553 Ry per atom, density 11.0 g/cm3. Number 2: final energy -0.39098 Ry per atom, density 8.0 g/cm3. Number 3: final energy -0.22762 Ry per atom, density 8.4 g/cm3. Number 4: final energy -0.37700 Ry per atom, density 9.9 g/cm3.